The following is a DFT calculation (GGA-PBE) of an optimized crystal structure of LaSc2Fe2.

Calculated values
**Energy**: -34.19 eV/f.u.
**ΔH_f (0 K)**: 0.065 eV per atom
**Volume**: 104.2 Å³ per cell
**Size of the total moment**: 1.3 μB per cell
**SG**: I4/mmm
**E above lowest polymorph**: 0.00 eV per formula unit

Structure (POSCAR):
```
LaSc2Fe2
1.0
4.288 0.000 0.000
0.000 4.288 0.000
2.144 2.144 5.667
Sc La Fe
2 1 2
Cartesian
4.288 2.144 2.833
2.144 4.288 2.833
0.000 0.000 0.000
4.288 4.288 4.581
2.144 2.144 1.086
```